Li2Mg7In2 after structural relaxation, computed with GGA-PBE.

Unit cell a=6.978 b=6.978 c=5.949 alpha=106.44 beta=106.44 gamma=97.50
Fractional positions:
Li (0.138, 0.862, 0.000)
Li (0.862, 0.138, 0.000)
Mg (0.000, 0.000, 0.500)
Mg (0.063, 0.578, 0.295)
Mg (0.326, 0.326, 0.023)
Mg (0.422, 0.937, 0.705)
Mg (0.578, 0.063, 0.295)
Mg (0.674, 0.674, 0.977)
Mg (0.937, 0.422, 0.705)
In (0.338, 0.338, 0.535)
In (0.662, 0.662, 0.465)

DFT total energy in eV/cell: -20.40
Space-group type: C2/m (12)
Calculated volume in Å³ per atom: 23.582
DOS(E_F) in states/eV per cell: 3.89
Total moment in μB per cell: 0.000
Energy of formation from the pure elements in eV/atom: 0.006


Hf2MnPd after structural relaxation, computed with GGA-PBE.

Unit cell a=3.191 b=3.191 c=6.674 alpha=90.00 beta=90.00 gamma=90.00
Fractional positions:
Hf (0.000, 0.000, 0.229)
Hf (0.000, 0.000, 0.771)
Mn (0.500, 0.500, 0.000)
Pd (0.500, 0.500, 0.500)

DFT total energy in eV/cell: -36.16
Space-group type: P4/mmm (123)
Calculated volume in Å³ per atom: 16.985
DOS(E_F) in states/eV per cell: 1.70
Total moment in μB per cell: 0.000
Energy of formation from the pure elements in eV/atom: -0.472


K3CeCl7 after structural relaxation, computed with GGA-PBE.

Unit cell a=7.418 b=7.418 c=8.182 alpha=115.65 beta=115.65 gamma=86.44
Fractional positions:
K (0.000, 0.000, 0.000)
K (0.274, 0.727, 0.571)
K (0.727, 0.274, 0.571)
Ce (0.552, 0.552, 0.125)
Cl (0.189, 0.523, 0.819)
Cl (0.367, 0.367, 0.243)
Cl (0.371, 0.867, 0.290)
Cl (0.523, 0.189, 0.819)
Cl (0.691, 0.691, 0.941)
Cl (0.857, 0.857, 0.499)
Cl (0.867, 0.371, 0.290)

DFT total energy in eV/cell: -43.76
Space-group type: Cm (8)
Calculated volume in Å³ per atom: 32.857
Energy relative to the elements, uncorrected in eV per atom: -1.96
Total moment in μB per cell: 0.000


NaSiB after structural relaxation, computed with GGA-PBE.

Unit cell a=5.213 b=5.213 c=6.089 alpha=94.86 beta=94.86 gamma=36.66
Fractional positions:
Na (0.000, 0.000, 0.000)
Na (0.238, 0.238, 0.730)
Si (0.739, 0.739, 0.219)
Si (0.942, 0.942, 0.468)
B (0.504, 0.504, 0.634)
B (0.588, 0.588, 0.420)

DFT total energy in eV/cell: -25.09
Space-group type: Cm (8)
Calculated volume in Å³ per atom: 16.396
Energy relative to the elements, uncorrected in eV per atom: 0.29
DOS(E_F) in states/eV per cell: 2.08
Total moment in μB per cell: 0.000


CdSb2Cl after structural relaxation, computed with GGA-PBE.

Unit cell a=8.927 b=8.927 c=8.927 alpha=26.52 beta=26.52 gamma=26.52
Fractional positions:
Cd (0.000, 0.000, 0.000)
Sb (0.481, 0.481, 0.481)
Sb (0.748, 0.748, 0.748)
Cl (0.278, 0.278, 0.278)

Energy relative to the lowest polymorph listed for this composition in eV/atom: 0.000
DFT total energy in eV/cell: -12.14
Space-group type: R3m (160)
Calculated volume in Å³ per atom: 31.252
Energy relative to the elements, uncorrected in eV per atom: -0.28
DOS(E_F) in states/eV per cell: 3.23
Total moment in μB per cell: 0.000


Ac2ScAgPd6 after structural relaxation, computed with GGA-PBE.

Unit cell a=7.002 b=7.002 c=7.002 alpha=60.00 beta=60.00 gamma=60.00
Fractional positions:
Ac (0.250, 0.250, 0.250)
Ac (0.750, 0.750, 0.750)
Sc (0.000, 0.000, 0.000)
Ag (0.500, 0.500, 0.500)
Pd (0.244, 0.244, 0.756)
Pd (0.244, 0.756, 0.244)
Pd (0.244, 0.756, 0.756)
Pd (0.756, 0.244, 0.244)
Pd (0.756, 0.244, 0.756)
Pd (0.756, 0.756, 0.244)

DFT total energy in eV/cell: -50.99
Space-group type: Fm-3m (225)
Calculated volume in Å³ per atom: 24.273
DOS(E_F) in states/eV per cell: 4.20
Total moment in μB per cell: 0.000
Energy of formation from the pure elements in eV/atom: -0.244


NaNpS3 after structural relaxation, computed with GGA-PBE.

Unit cell a=7.997 b=7.997 c=7.997 alpha=90.00 beta=90.00 gamma=90.00
Fractional positions:
Na (0.134, 0.366, 0.634)
Na (0.366, 0.634, 0.134)
Na (0.634, 0.134, 0.366)
Na (0.866, 0.866, 0.866)
Np (0.094, 0.906, 0.406)
Np (0.406, 0.094, 0.906)
Np (0.594, 0.594, 0.594)
Np (0.906, 0.406, 0.094)
S (0.000, 0.212, 0.339)
S (0.000, 0.712, 0.161)
S (0.161, 0.000, 0.712)
S (0.212, 0.339, 0.000)
S (0.288, 0.661, 0.500)
S (0.339, 0.000, 0.212)
S (0.500, 0.288, 0.661)
S (0.500, 0.788, 0.839)
S (0.661, 0.500, 0.288)
S (0.712, 0.161, 0.000)
S (0.788, 0.839, 0.500)
S (0.839, 0.500, 0.788)

Energy relative to the lowest polymorph listed for this composition in eV/atom: 0.031
DFT total energy in eV/cell: -127.44
Space-group type: P2_13 (198)
Calculated volume in Å³ per atom: 25.568
Energy relative to the elements, uncorrected in eV per atom: -1.04
DOS(E_F) in states/eV per cell: 37.57
Total moment in μB per cell: 8.000


SmDy4Bi5 after structural relaxation, computed with GGA-PBE.

Unit cell a=11.883 b=11.883 c=11.883 alpha=158.20 beta=149.00 gamma=38.22
Fractional positions:
Sm (0.000, 0.000, 0.000)
Dy (0.201, 0.201, 0.000)
Dy (0.400, 0.400, 0.000)
Dy (0.600, 0.600, 0.000)
Dy (0.799, 0.799, 0.000)
Bi (0.102, 0.602, 0.500)
Bi (0.300, 0.800, 0.500)
Bi (0.500, 0.000, 0.500)
Bi (0.700, 0.200, 0.500)
Bi (0.898, 0.398, 0.500)

DFT total energy in eV/cell: -51.25
Space-group type: Immm (71)
Calculated volume in Å³ per atom: 32.045
DOS(E_F) in states/eV per cell: 1.97
Total moment in μB per cell: 0.000
Energy of formation from the pure elements in eV/atom: -0.872


Cr2InAu after structural relaxation, computed with GGA-PBE.

Unit cell a=5.073 b=5.073 c=4.941 alpha=108.01 beta=108.01 gamma=34.51
Fractional positions:
Cr (0.249, 0.249, 0.159)
Cr (0.751, 0.751, 0.841)
In (0.000, 0.000, 0.500)
Au (0.500, 0.500, 0.000)

DFT total energy in eV/cell: -23.57
Space-group type: C2/m (12)
Calculated volume in Å³ per atom: 17.042
DOS(E_F) in states/eV per cell: 2.04
Total moment in μB per cell: 0.000
Energy of formation from the pure elements in eV/atom: 0.424


LiP2Cl after structural relaxation, computed with GGA-PBE.

Unit cell a=4.574 b=4.574 c=4.574 alpha=60.00 beta=60.00 gamma=60.00
Fractional positions:
Li (0.000, 0.000, 0.000)
P (0.250, 0.250, 0.250)
P (0.500, 0.500, 0.500)
Cl (0.750, 0.750, 0.750)

Energy relative to the lowest polymorph listed for this composition in eV/atom: 0.903
DFT total energy in eV/cell: -13.86
Space-group type: F-43m (216)
Calculated volume in Å³ per atom: 16.916
Energy relative to the elements, uncorrected in eV per atom: 0.18
DOS(E_F) in states/eV per cell: 2.26
Total moment in μB per cell: 0.000


Pr2Ga2Si after structural relaxation, computed with GGA-PBE.

Unit cell a=6.019 b=6.019 c=11.144 alpha=113.26 beta=113.26 gamma=40.76
Fractional positions:
Pr (0.100, 0.100, 0.402)
Pr (0.294, 0.294, 0.861)
Pr (0.706, 0.706, 0.139)
Pr (0.900, 0.900, 0.598)
Ga (0.026, 0.026, 0.904)
Ga (0.365, 0.365, 0.376)
Ga (0.635, 0.635, 0.624)
Ga (0.974, 0.974, 0.096)
Si (0.433, 0.433, 0.188)
Si (0.567, 0.567, 0.812)

Energy relative to the lowest polymorph listed for this composition in eV/atom: 0.000
DFT total energy in eV/cell: -48.72
Space-group type: C2/m (12)
Calculated volume in Å³ per atom: 23.911
Energy relative to the elements, uncorrected in eV per atom: -0.66
DOS(E_F) in states/eV per cell: 5.68
Total moment in μB per cell: 0.000


CaGe5 after structural relaxation, computed with GGA-PBE.

Unit cell a=7.269 b=7.269 c=3.663 alpha=90.00 beta=90.00 gamma=140.05
Fractional positions:
Ca (0.000, 0.000, 0.000)
Ge (0.192, 0.808, 0.500)
Ge (0.342, 0.658, 0.000)
Ge (0.500, 0.500, 0.500)
Ge (0.658, 0.342, 0.000)
Ge (0.808, 0.192, 0.500)

DFT total energy in eV/cell: -25.13
Space-group type: Cmmm (65)
Calculated volume in Å³ per atom: 20.713
DOS(E_F) in states/eV per cell: 2.84
Total moment in μB per cell: 0.000
Energy of formation from the pure elements in eV/atom: -0.006


VFeC2 after structural relaxation, computed with GGA-PBE.

Unit cell a=5.047 b=5.047 c=5.047 alpha=149.21 beta=148.97 gamma=44.28
Fractional positions:
V (0.000, 0.000, 0.000)
Fe (0.749, 0.249, 0.500)
C (0.329, 0.829, 0.500)
C (0.585, 0.585, 0.000)

DFT total energy in eV/cell: -35.67
Space-group type: Imm2 (44)
Calculated volume in Å³ per atom: 8.455
DOS(E_F) in states/eV per cell: 1.92
Total moment in μB per cell: 0.532
Energy of formation from the pure elements in eV/atom: 0.090


PrNd3Zn after structural relaxation, computed with GGA-PBE.

Unit cell a=15.089 b=15.089 c=5.671 alpha=90.35 beta=90.35 gamma=14.15
Fractional positions:
Pr (0.232, 0.232, 0.248)
Pr (0.768, 0.768, 0.752)
Nd (0.156, 0.156, 0.749)
Nd (0.377, 0.377, 0.756)
Nd (0.456, 0.456, 0.269)
Nd (0.544, 0.544, 0.731)
Nd (0.623, 0.623, 0.244)
Nd (0.844, 0.844, 0.251)
Zn (0.039, 0.039, 0.211)
Zn (0.961, 0.961, 0.789)

Energy relative to the lowest polymorph listed for this composition in eV/atom: 0.000
DFT total energy in eV/cell: -41.59
Space-group type: C2/m (12)
Calculated volume in Å³ per atom: 31.570
DOS(E_F) in states/eV per cell: 11.36
Total moment in μB per cell: 0.000
Energy of formation from the pure elements in eV/atom: -0.088


Na2PaGeTe4 after structural relaxation, computed with GGA-PBE.

Unit cell a=7.739 b=4.407 c=7.827 alpha=90.00 beta=108.36 gamma=90.00
Fractional positions:
Na (0.000, 0.000, 0.000)
Na (0.500, 0.500, 0.000)
Pa (0.000, 0.500, 0.500)
Ge (0.500, 0.000, 0.500)
Te (0.249, 0.000, 0.729)
Te (0.260, 0.500, 0.277)
Te (0.740, 0.500, 0.723)
Te (0.751, 0.000, 0.271)

DFT total energy in eV/cell: -34.95
Space-group type: P2/m (10)
Calculated volume in Å³ per atom: 31.666
Energy relative to the elements, uncorrected in eV per atom: -0.70
DOS(E_F) in states/eV per cell: 5.78
Total moment in μB per cell: 1.005


Y3RePd after structural relaxation, computed with GGA-PBE.

Unit cell a=5.320 b=5.320 c=5.320 alpha=90.00 beta=90.00 gamma=90.00
Fractional positions:
Y (0.000, 0.000, 0.500)
Y (0.000, 0.500, 0.000)
Y (0.500, 0.000, 0.000)
Re (0.000, 0.000, 0.000)
Pd (0.500, 0.500, 0.500)

Energy relative to the lowest polymorph listed for this composition in eV/atom: 0.000
DFT total energy in eV/cell: -35.40
Space-group type: Pm-3m (221)
Calculated volume in Å³ per atom: 30.115
DOS(E_F) in states/eV per cell: 2.90
Total moment in μB per cell: 0.000
Energy of formation from the pure elements in eV/atom: 0.326


BaMgMnGa2 after structural relaxation, computed with GGA-PBE.

Unit cell a=4.829 b=4.829 c=5.063 alpha=90.00 beta=90.00 gamma=90.00
Fractional positions:
Ba (0.000, 0.000, 0.000)
Mg (0.500, 0.500, 0.000)
Mn (0.500, 0.500, 0.500)
Ga (0.000, 0.500, 0.500)
Ga (0.500, 0.000, 0.500)

Energy relative to the lowest polymorph listed for this composition in eV/atom: 0.000
DFT total energy in eV/cell: -19.35
Space-group type: P4/mmm (123)
Calculated volume in Å³ per atom: 23.617
DOS(E_F) in states/eV per cell: 2.43
Total moment in μB per cell: 0.827
Energy of formation from the pure elements in eV/atom: -0.122


HfBe2Cu after structural relaxation, computed with GGA-PBE.

Unit cell a=4.827 b=4.827 c=4.827 alpha=44.88 beta=44.88 gamma=44.88
Fractional positions:
Hf (0.000, 0.000, 0.000)
Be (0.206, 0.206, 0.206)
Be (0.794, 0.794, 0.794)
Cu (0.500, 0.500, 0.500)

Energy relative to the lowest polymorph listed for this composition in eV/atom: 0.000
DFT total energy in eV/cell: -21.95
Space-group type: R-3m (166)
Calculated volume in Å³ per atom: 12.740
DOS(E_F) in states/eV per cell: 2.21
Total moment in μB per cell: 0.000
Energy of formation from the pure elements in eV/atom: -0.113